CsRb6Na6 | PBE | optimized geometry

- ΔH_f (0 K) (eV per atom) = 0.030
- total magnetization (μB/atom) = 0.00
- electronic total energy (eV for the cell shown) = -14.2

```
13
Lattice="-4.019 7.130 7.326 4.019 -7.130 7.326 4.019 7.130 -7.326" Properties=species:S:1:pos:R:3 pbc="T T T"
Cs 0.000 0.000 0.000
Rb 4.019 2.596 0.000
Rb 0.000 0.000 4.895
Rb 0.000 4.920 0.000
Rb 0.000 9.339 0.000
Rb 0.000 0.000 9.757
Rb 0.000 4.533 7.326
Na 2.009 3.565 -3.663
Na 2.009 -3.565 3.663
Na 4.019 0.000 3.400
Na -2.009 3.565 3.663
Na 2.009 3.565 3.663
Na 0.000 7.130 3.925
```


Nd8CoOs3Cl4 | PBE | optimized geometry

- total magnetization (μB/atom) = 0.00
- energy relative to the elements, uncorrected (eV/atom) = -0.75
- electronic total energy (eV for the cell shown) = -98.3

```
16
Lattice="7.027 -4.060 0.000 7.027 4.060 0.000 -4.691 0.000 7.597" Properties=species:S:1:pos:R:3 pbc="T T T"
Nd -0.017 0.000 5.356
Nd 3.519 2.043 5.356
Nd 5.844 2.043 2.241
Nd 2.338 0.000 2.212
Nd 7.025 0.000 5.385
Nd 3.519 -2.043 5.356
Nd 5.844 -2.043 2.241
Nd 9.380 0.000 2.241
Co -2.346 0.000 3.798
Os 1.168 2.030 3.798
Os 1.168 -2.030 3.798
Os 4.682 0.000 3.798
Cl 0.000 0.000 0.000
Cl 3.514 2.030 0.000
Cl 3.514 -2.030 0.000
Cl 7.027 0.000 0.000
```


Copy entry 2 word for word.
Nd8CoOs3Cl4 | PBE | optimized geometry

- total magnetization (μB/atom) = 0.00
- energy relative to the elements, uncorrected (eV/atom) = -0.75
- electronic total energy (eV for the cell shown) = -98.3

```
16
Lattice="7.027 -4.060 0.000 7.027 4.060 0.000 -4.691 0.000 7.597" Properties=species:S:1:pos:R:3 pbc="T T T"
Nd -0.017 0.000 5.356
Nd 3.519 2.043 5.356
Nd 5.844 2.043 2.241
Nd 2.338 0.000 2.212
Nd 7.025 0.000 5.385
Nd 3.519 -2.043 5.356
Nd 5.844 -2.043 2.241
Nd 9.380 0.000 2.241
Co -2.346 0.000 3.798
Os 1.168 2.030 3.798
Os 1.168 -2.030 3.798
Os 4.682 0.000 3.798
Cl 0.000 0.000 0.000
Cl 3.514 2.030 0.000
Cl 3.514 -2.030 0.000
Cl 7.027 0.000 0.000
```